No. 1
# PBE-GGA Th6TeP3S2, optimized geometry
# DOS at the Fermi energy   0.67 states/eV per atom
# Total DFT energy (no corrections)   -90.83 eV/f.u.
data_Th6TeP3S2
_symmetry_space_group_name_H-M 'C 1 2/m 1'
_symmetry_Int_Tables_number 12
_symmetry_space_group_name_Hall '-C 2y'
_cell_length_a 18.1836
_cell_length_b 4.1627
_cell_length_c 8.3667
_cell_angle_alpha 90.00
_cell_angle_beta 103.54
_cell_angle_gamma 90.00
loop_
_atom_site_label
_atom_site_type_symbol
_atom_site_fract_x
_atom_site_fract_y
_atom_site_fract_z
Th1 Th 0.0012 0.0000 0.2762
Th2 Th 0.1653 0.5000 0.5868
Th3 Th 0.1768 0.5000 0.0849
Te1 Te 0.0000 0.5000 0.0000
P1 P 0.0000 0.5000 0.5000
P2 P 0.1620 0.0000 0.8317
S1 S 0.1688 0.0000 0.3346



No. 2
# PBE-GGA TbNdTm2Ag4, optimized geometry
# DOS at the Fermi energy   0.64 states/eV per atom
# Calculated formation energy   -0.305 eV/atom
data_TbNdTm2Ag4
_symmetry_space_group_name_H-M 'R -3 m'
_symmetry_Int_Tables_number 166
_symmetry_space_group_name_Hall '-R 3 2"'
_cell_length_a 5.1549
_cell_length_b 5.1549
_cell_length_c 25.3765
_cell_angle_alpha 90.00
_cell_angle_beta 90.00
_cell_angle_gamma 120.00
loop_
_atom_site_label
_atom_site_type_symbol
_atom_site_fract_x
_atom_site_fract_y
_atom_site_fract_z
Tb1 Tb 0.0000 0.0000 0.0000
Nd1 Nd 0.0000 0.0000 0.5000
Tm1 Tm 0.0000 0.0000 0.2509
Ag1 Ag 0.0000 0.0000 0.1222
Ag2 Ag 0.0000 0.0000 0.3732



No. 3
# PBE-GGA LiMgTa, optimized geometry
# DOS at the Fermi energy   0.94 states/eV per atom
# E above lowest polymorph   244 meV/atom
# Calculated formation energy   0.325 eV/atom
data_LiMgTa
_symmetry_space_group_name_H-M 'I m m 2'
_symmetry_Int_Tables_number 44
_symmetry_space_group_name_Hall 'I 2 -2'
_cell_length_a 2.8846
_cell_length_b 2.9134
_cell_length_c 12.8089
_cell_angle_alpha 90.00
_cell_angle_beta 90.00
_cell_angle_gamma 90.00
loop_
_atom_site_label
_atom_site_type_symbol
_atom_site_fract_x
_atom_site_fract_y
_atom_site_fract_z
Li1 Li 0.0000 0.0000 0.0000
Mg1 Mg 0.0000 0.0000 0.6647
Ta1 Ta 0.0000 0.0000 0.3360



No. 4
# PBE-GGA BaSrMnZn2, optimized geometry
# DOS at the Fermi energy   1.52 states/eV per atom
# Calculated formation energy   0.408 eV/atom
data_BaSrMnZn2
_symmetry_space_group_name_H-M 'P 4/m m m'
_symmetry_Int_Tables_number 123
_symmetry_space_group_name_Hall '-P 4 2'
_cell_length_a 5.0836
_cell_length_b 5.0836
_cell_length_c 5.0866
_cell_angle_alpha 90.00
_cell_angle_beta 90.00
_cell_angle_gamma 90.00
loop_
_atom_site_label
_atom_site_type_symbol
_atom_site_fract_x
_atom_site_fract_y
_atom_site_fract_z
Ba1 Ba 0.0000 0.0000 0.0000
Sr1 Sr 0.5000 0.5000 0.0000
Mn1 Mn 0.5000 0.5000 0.5000
Zn1 Zn 0.0000 0.5000 0.5000



No. 5
# PBE-GGA NiAgSb2Br, optimized geometry
# DOS at the Fermi energy   1.16 states/eV per atom
# Total DFT energy (no corrections)   -13.47 eV/f.u.
data_NiAgSb2Br
_symmetry_space_group_name_H-M 'P 4/m m m'
_symmetry_Int_Tables_number 123
_symmetry_space_group_name_Hall '-P 4 2'
_cell_length_a 5.3681
_cell_length_b 5.3681
_cell_length_c 5.1892
_cell_angle_alpha 90.00
_cell_angle_beta 90.00
_cell_angle_gamma 90.00
loop_
_atom_site_label
_atom_site_type_symbol
_atom_site_fract_x
_atom_site_fract_y
_atom_site_fract_z
Ni1 Ni 0.0000 0.0000 0.0000
Ag1 Ag 0.5000 0.5000 0.5000
Sb1 Sb 0.0000 0.5000 0.5000
Br1 Br 0.5000 0.5000 0.0000



No. 6
# PBE-GGA YHfOs2S, optimized geometry
# DOS at the Fermi energy   0.76 states/eV per atom
# Total DFT energy (no corrections)   -42.34 eV/f.u.
data_YHfOs2S
_symmetry_space_group_name_H-M 'P 4/m m m'
_symmetry_Int_Tables_number 123
_symmetry_space_group_name_Hall '-P 4 2'
_cell_length_a 4.4909
_cell_length_b 4.4909
_cell_length_c 4.6846
_cell_angle_alpha 90.00
_cell_angle_beta 90.00
_cell_angle_gamma 90.00
loop_
_atom_site_label
_atom_site_type_symbol
_atom_site_fract_x
_atom_site_fract_y
_atom_site_fract_z
Y1 Y 0.0000 0.0000 0.0000
Hf1 Hf 0.5000 0.5000 0.0000
Os1 Os 0.0000 0.5000 0.5000
S1 S 0.5000 0.5000 0.5000



No. 7
# PBE-GGA BaLi2U2Se6, optimized geometry
# DOS at the Fermi energy   1.12 states/eV per atom
# Total DFT energy (no corrections)   -63.58 eV/f.u.
data_BaLi2U2Se6
_symmetry_space_group_name_H-M 'P -3'
_symmetry_Int_Tables_number 147
_symmetry_space_group_name_Hall '-P 3'
_cell_length_a 7.3699
_cell_length_b 7.3699
_cell_length_c 6.8707
_cell_angle_alpha 90.00
_cell_angle_beta 90.00
_cell_angle_gamma 120.00
loop_
_atom_site_label
_atom_site_type_symbol
_atom_site_fract_x
_atom_site_fract_y
_atom_site_fract_z
Ba1 Ba 0.0000 0.0000 0.0000
Li1 Li 0.3333 0.6667 0.4996
U1 U 0.3333 0.6667 0.9991
Se1 Se 0.0000 0.3849 0.7552



No. 8
# PBE-GGA LiIn2GaCl4, optimized geometry
# Total DFT energy (no corrections)   -25.55 eV/f.u.
data_LiIn2GaCl4
_symmetry_space_group_name_H-M 'I m m a'
_symmetry_Int_Tables_number 74
_symmetry_space_group_name_Hall '-I 2b 2'
_cell_length_a 8.5115
_cell_length_b 8.6797
_cell_length_c 12.0708
_cell_angle_alpha 90.00
_cell_angle_beta 90.00
_cell_angle_gamma 90.00
loop_
_atom_site_label
_atom_site_type_symbol
_atom_site_fract_x
_atom_site_fract_y
_atom_site_fract_z
Li1 Li 0.2500 0.2500 0.2500
In1 In 0.0000 0.0000 0.0000
In2 In 0.2500 0.2500 0.7500
Ga1 Ga 0.0000 0.0000 0.5000
Cl1 Cl 0.0000 0.0305 0.2551
Cl2 Cl 0.2392 0.2500 0.4688



No. 9
# PBE-GGA DyCuNi4Ge2, optimized geometry
# DOS at the Fermi energy   0.56 states/eV per atom
# Calculated formation energy   -0.361 eV/atom
data_DyCuNi4Ge2
_symmetry_space_group_name_H-M 'R -3 m'
_symmetry_Int_Tables_number 166
_symmetry_space_group_name_Hall '-R 3 2"'
_cell_length_a 4.0057
_cell_length_b 4.0057
_cell_length_c 24.6471
_cell_angle_alpha 90.00
_cell_angle_beta 90.00
_cell_angle_gamma 120.00
loop_
_atom_site_label
_atom_site_type_symbol
_atom_site_fract_x
_atom_site_fract_y
_atom_site_fract_z
Dy1 Dy 0.0000 0.0000 0.0000
Cu1 Cu 0.0000 0.0000 0.5000
Ni1 Ni 0.0000 0.0000 0.1320
Ni2 Ni 0.0000 0.0000 0.4047
Ge1 Ge 0.0000 0.0000 0.2403



No. 10
# PBE-GGA MgTlZn4, optimized geometry
# DOS at the Fermi energy   0.38 states/eV per atom
# Calculated formation energy   0.026 eV/atom
data_MgTlZn4
_symmetry_space_group_name_H-M 'F -4 3 m'
_symmetry_Int_Tables_number 216
_symmetry_space_group_name_Hall 'F -4 2 3'
_cell_length_a 7.6490
_cell_length_b 7.6490
_cell_length_c 7.6490
_cell_angle_alpha 90.00
_cell_angle_beta 90.00
_cell_angle_gamma 90.00
loop_
_atom_site_label
_atom_site_type_symbol
_atom_site_fract_x
_atom_site_fract_y
_atom_site_fract_z
Mg1 Mg 0.0000 0.0000 0.0000
Tl1 Tl 0.2500 0.2500 0.7500
Zn1 Zn 0.1260 0.1260 0.3740



No. 11
# PBE-GGA Rb2CeCu3H12, optimized geometry
# DOS at the Fermi energy   0.38 states/eV per atom
# Total DFT energy (no corrections)   -61.39 eV/f.u.
data_Rb2CeCu3H12
_symmetry_space_group_name_H-M 'R -3 m'
_symmetry_Int_Tables_number 166
_symmetry_space_group_name_Hall '-R 3 2"'
_cell_length_a 7.0116
_cell_length_b 7.0116
_cell_length_c 14.5513
_cell_angle_alpha 90.00
_cell_angle_beta 90.00
_cell_angle_gamma 120.00
loop_
_atom_site_label
_atom_site_type_symbol
_atom_site_fract_x
_atom_site_fract_y
_atom_site_fract_z
Rb1 Rb 0.0000 0.0000 0.1117
Ce1 Ce 0.0000 0.0000 0.5000
Cu1 Cu 0.0000 0.5000 0.0000
H1 H 0.0138 0.5069 0.8911
H2 H 0.1081 0.2162 0.6475



No. 12
# PBE-GGA Ca2ThZn3, optimized geometry
# DOS at the Fermi energy   0.76 states/eV per atom
# Calculated formation energy   -0.202 eV/atom
data_Ca2ThZn3
_symmetry_space_group_name_H-M 'P -3 m 1'
_symmetry_Int_Tables_number 164
_symmetry_space_group_name_Hall '-P 3 2"'
_cell_length_a 5.1958
_cell_length_b 5.1958
_cell_length_c 6.3227
_cell_angle_alpha 90.00
_cell_angle_beta 90.00
_cell_angle_gamma 120.00
loop_
_atom_site_label
_atom_site_type_symbol
_atom_site_fract_x
_atom_site_fract_y
_atom_site_fract_z
Ca1 Ca 0.3333 0.6667 0.1535
Th1 Th 0.0000 0.0000 0.5000
Zn1 Zn 0.0000 0.0000 0.0000
Zn2 Zn 0.3333 0.6667 0.6531